# 1
This record from OQMD via LeMat-Bulk describes a relaxed structure of MgZn2Te2F2. The functional is PBE.

Properties
crystal system: tetragonal
DFT total energy: -0.1107 Ha/atom

Structure (POSCAR):
```
MgZn2Te2F2
1.0
3.7876 0.0000 0.0000
0.0000 3.7876 0.0000
0.0000 0.0000 9.2700
Mg Zn Te F
1 2 2 2
Direct
0.0000 0.0000 0.0000 Mg
0.0000 0.5000 0.3654 Zn
0.5000 0.0000 0.6346 Zn
0.0000 0.5000 0.7845 Te
0.5000 0.0000 0.2155 Te
0.0000 0.0000 0.5000 F
0.5000 0.5000 0.5000 F
```

# 2
This record from OQMD via LeMat-Bulk describes a relaxed structure of NaSiAu. The functional is PBE.

Properties
crystal system: cubic
DFT total energy: -0.1194 Ha/atom

Structure (POSCAR):
```
NaSiAu
1.0
0.0000 3.1387 3.1387
3.1387 0.0000 3.1387
3.1387 3.1387 0.0000
Na Si Au
1 1 1
Direct
0.0000 0.0000 0.0000 Na
0.5000 0.5000 0.5000 Si
0.2500 0.2500 0.2500 Au
```

What is the DFT total energy in the second record? -0.1194 Ha/atom

What is the DFT total energy in the second record? -0.1194 Ha/atom

The highest DFT total energy belongs to which entry? MgZn2Te2F2